Material: PrZn2Ag8
Method: DFT, PBE-GGA
State: optimized geometry

Geometry as extended XYZ:
```
11
Lattice="5.5535 0.0000 0.0000 0.0000 5.5535 0.0000 0.0000 0.0000 8.6197" Properties=species:S:1:pos:R:3 pbc="T T T"
Pr 0.0000 0.0000 0.0000
Zn 0.0000 2.7767 4.3098
Zn 2.7767 0.0000 4.3098
Ag 1.4018 1.4018 2.4540
Ag 1.4018 1.4018 6.1657
Ag 1.4018 4.1517 2.4540
Ag 1.4018 4.1517 6.1657
Ag 4.1517 1.4018 2.4540
Ag 4.1517 1.4018 6.1657
Ag 4.1517 4.1517 2.4540
Ag 4.1517 4.1517 6.1657
```

- SG = No. 123
- relative energy among the computed polymorphs (meV/atom) = 224
- formation energy (eV per formula unit) = 2.70